Compound: Hf3Zn2Ni4
Source: Alexandria
Functional: PBE
Structure: relaxed

a b c (Å): 4.8073 4.8073 7.9072
angles (deg): 93.23 93.23 49.45
Closest atoms and distances in Å follow each position.
Atoms (fractional coordinates):
Hf 0.0000 0.0000 0.0000  6 Ni 2.67-2.77
Hf 0.3699 0.3699 0.6131  4 Ni 2.52-2.70
Hf 0.6301 0.6301 0.3869  4 Ni 2.52-2.70
Zn 0.3267 0.3267 0.2209  5 Ni 2.43-2.47
Zn 0.6733 0.6733 0.7791  5 Ni 2.43-2.47
Ni 0.0774 0.0774 0.6292  1 Ni 2.38, 2 Zn 2.45, 1 Hf 2.57
Ni 0.2908 0.2908 0.9141  3 Zn 2.43-2.47, 2 Hf 2.52-2.67, 2 Ni 2.55
Ni 0.7092 0.7092 0.0859  3 Zn 2.43-2.47, 2 Hf 2.52-2.67, 2 Ni 2.55
Ni 0.9226 0.9226 0.3708  1 Ni 2.38, 2 Zn 2.45, 1 Hf 2.57

Summary:
ΔH_f (0 K) ... -0.364 eV/atom
Energy ... -6.53 eV/atom
Calculated density ... 10.8 g cm⁻³
V ... 15.4 A^3/atom
SG ... C2/m, No. 12